Entry 1:
DFT (SCAN) results for a PBEsol-optimized structure of AlCrSnO2.

Output
As for the uncorrected formation energy: -0.81 eV/atom. As for the space-group type: P4/mmm.

Cell: 3.6552 3.6552 5.5980 Å, 90.00 90.00 90.00°
Fractional positions:
Al 0.0000 0.0000 0.0000
Cr 0.0000 0.0000 0.5000
Sn 0.5000 0.5000 0.5000
O 0.0000 0.5000 0.0000
O 0.5000 0.0000 0.0000

=====

Entry 2:
DFT (SCAN) results for a PBEsol-optimized structure of AlCrW2O8.

Output
As for the uncorrected formation energy: -2.47 eV/atom. As for the space-group type: P2/c.

Cell: 4.9077 5.4334 10.1345 Å, 90.00 116.32 90.00°
Fractional positions:
Al 0.0000 0.1285 0.2500
Al 0.0000 0.8715 0.7500
Cr 0.5000 0.1379 0.7500
Cr 0.5000 0.8621 0.2500
W 0.2838 0.3604 0.0077
W 0.2838 0.6396 0.5077
W 0.7162 0.3604 0.4923
W 0.7162 0.6396 0.9923
O 0.1949 0.3809 0.6110
O 0.1949 0.6191 0.1110
O 0.2218 0.1161 0.1354
O 0.2218 0.8839 0.6354
O 0.2690 0.1299 0.8648
O 0.2690 0.8701 0.3648
O 0.2792 0.3582 0.3706
O 0.2792 0.6418 0.8706
O 0.7208 0.3582 0.1294
O 0.7208 0.6418 0.6294
O 0.7310 0.1299 0.6352
O 0.7310 0.8701 0.1352
O 0.7782 0.1161 0.3646
O 0.7782 0.8839 0.8646
O 0.8051 0.3809 0.8890
O 0.8051 0.6191 0.3890

=====

Entry 3:
DFT (SCAN) results for a PBEsol-optimized structure of Y3Al3Cr2O12.

Output
As for the uncorrected formation energy: -3.44 eV/atom. As for the space-group type: Ia-3d.

Cell: 10.4712 10.4712 10.4712 Å, 109.47 109.47 109.47°
Fractional positions:
Y 0.1250 0.2500 0.3750
Y 0.1250 0.3750 0.7500
Y 0.2500 0.3750 0.1250
Y 0.2500 0.8750 0.6250
Y 0.3750 0.1250 0.2500
Y 0.3750 0.7500 0.1250
Y 0.6250 0.2500 0.8750
Y 0.6250 0.8750 0.7500
Y 0.7500 0.1250 0.3750
Y 0.7500 0.6250 0.8750
Y 0.8750 0.6250 0.2500
Y 0.8750 0.7500 0.6250
Al 0.1250 0.7500 0.8750
Al 0.1250 0.8750 0.2500
Al 0.2500 0.1250 0.8750
Al 0.2500 0.6250 0.3750
Al 0.3750 0.2500 0.6250
Al 0.3750 0.6250 0.7500
Al 0.6250 0.3750 0.2500
Al 0.6250 0.7500 0.3750
Al 0.7500 0.3750 0.6250
Al 0.7500 0.8750 0.1250
Al 0.8750 0.1250 0.7500
Al 0.8750 0.2500 0.1250
Cr 0.0000 0.0000 0.0000
Cr 0.0000 0.0000 0.5000
Cr 0.0000 0.5000 0.0000
Cr 0.0000 0.5000 0.5000
Cr 0.5000 0.0000 0.0000
Cr 0.5000 0.0000 0.5000
Cr 0.5000 0.5000 0.0000
Cr 0.5000 0.5000 0.5000
O 0.0242 0.2068 0.1218
O 0.0242 0.3175 0.9024
O 0.0850 0.7068 0.6825
O 0.0850 0.8782 0.4024
O 0.0976 0.6218 0.4150
O 0.0976 0.9758 0.6825
O 0.1218 0.0242 0.2068
O 0.1218 0.5976 0.9150
O 0.1825 0.2068 0.5850
O 0.1825 0.4758 0.5976
O 0.2068 0.1218 0.0242
O 0.2068 0.5850 0.1825
O 0.2932 0.3175 0.9150
O 0.2932 0.4758 0.3782
O 0.3175 0.9024 0.0242
O 0.3175 0.9150 0.2932
O 0.3782 0.2932 0.4758
O 0.3782 0.5850 0.9024
O 0.4024 0.0850 0.8782
O 0.4024 0.8175 0.5242
O 0.4150 0.0976 0.6218
O 0.4150 0.8175 0.7932
O 0.4758 0.3782 0.2932
O 0.4758 0.5976 0.1825
O 0.5242 0.4024 0.8175
O 0.5242 0.6218 0.7068
O 0.5850 0.1825 0.2068
O 0.5850 0.9024 0.3782
O 0.5976 0.1825 0.4758
O 0.5976 0.9150 0.1218
O 0.6218 0.4150 0.0976
O 0.6218 0.7068 0.5242
O 0.6825 0.0850 0.7068
O 0.6825 0.0976 0.9758
O 0.7068 0.5242 0.6218
O 0.7068 0.6825 0.0850
O 0.7932 0.4150 0.8175
O 0.7932 0.8782 0.9758
O 0.8175 0.5242 0.4024
O 0.8175 0.7932 0.4150
O 0.8782 0.4024 0.0850
O 0.8782 0.9758 0.7932
O 0.9024 0.0242 0.3175
O 0.9024 0.3782 0.5850
O 0.9150 0.1218 0.5976
O 0.9150 0.2932 0.3175
O 0.9758 0.6825 0.0976
O 0.9758 0.7932 0.8782

=====

Entry 4:
DFT (SCAN) results for a PBEsol-optimized structure of AlCrOs.

Output
Its formation energy is -62 meV/atom. The energy above the most stable polymorph in this dataset is 296 meV per atom. As for the space-group type: P3m1.

Cell: 2.7098 2.7098 6.2845 Å, 90.00 90.00 120.00°
Fractional positions:
Al 0.0000 0.0000 0.0000
Cr 0.3333 0.6667 0.6648
Os 0.6667 0.3333 0.3533

=====

Entry 5:
DFT (SCAN) results for a PBEsol-optimized structure of Al2CrOs.

Output
Its formation energy is -465 meV/atom. The energy above the most stable polymorph in this dataset is 125 meV per atom. As for the space-group type: P4/mmm.

Cell: 4.1694 4.1694 3.1037 Å, 90.00 90.00 90.00°
Fractional positions:
Al 0.0000 0.5000 0.0000
Al 0.5000 0.0000 0.0000
Cr 0.0000 0.0000 0.5000
Os 0.5000 0.5000 0.5000

=====

Entry 6:
DFT (SCAN) results for a PBEsol-optimized structure of Al2CrOs.

Output
Its formation energy is -377 meV/atom. The energy above the most stable polymorph in this dataset is 213 meV per atom. As for the space-group type: Cm.

Cell: 9.5013 3.0205 4.1404 Å, 90.00 115.73 90.00°
Fractional positions:
Al 0.0000 0.0000 0.0000
Al 0.2281 0.0000 0.7274
Al 0.5000 0.5000 0.0000
Al 0.7281 0.5000 0.7274
Cr 0.4825 0.0000 0.4826
Cr 0.9825 0.5000 0.4826
Os 0.2496 0.5000 0.2489
Os 0.7496 0.0000 0.2489